1.
## ZnH2Br (GGA-PBE)

Data for a relaxed structure of ZnH2Br.

Cell lengths 5.7724, 5.7724, 5.7724 Å; angles 90.00, 90.00, 90.00 degrees
Closest atoms and distances in Å follow each position.
Space group Fm-3m (No. 225)
Unique sites:
Zn1 0.0000 0.0000 0.0000 [4 per cell]  8 H 2.50
H1 0.2500 0.2500 0.2500 [8 per cell]  4 Br 2.50, 4 Zn 2.50
Br1 0.0000 0.0000 0.5000 [4 per cell]  8 H 2.50

Computed properties:
volume: 192.3 Å³ per cell
final energy: -23.59 eV/cell
DOS(E_F): 0.376 states/eV per atom
theoretical density: 5.088 g/cm3

***

2.
## Ba2MgTl8 (GGA-PBE)

Data for a relaxed structure of Ba2MgTl8.

Cell lengths 5.2464, 5.2464, 13.0591 Å; angles 90.00, 90.00, 90.00 degrees
Closest atoms and distances in Å follow each position.
Space group P4/mmm (No. 123)
Unique sites:
Ba1 0.0000 0.0000 0.1913 [2 per cell]  12 Tl 3.56-3.71
Mg1 0.0000 0.0000 0.5000 [1 per cell]  8 Tl 3.09
Tl1 0.0000 0.5000 0.0000 [2 per cell]  4 Ba 3.62, 8 Tl 3.68-3.71
Tl2 0.0000 0.5000 0.3754 [4 per cell]  2 Mg 3.09, 1 Tl 3.25
Tl3 0.5000 0.5000 0.1980 [2 per cell]  8 Tl 3.50-3.68, 4 Ba 3.71

Computed properties:
volume: 359.4 Å³ per cell
DOS(E_F): 0.643 states/eV per atom
theoretical density: 8.935 g/cm3
calculated formation energy: -0.19 eV per atom